BWO3 | PBE+U | relaxed

extended XYZ file:
```
5
Lattice="-3.138 -1.586 -1.691 -0.563 -2.239 3.145 -2.249 2.774 1.572" Properties=species:S:1:pos:R:3 pbc="T T T"
B -2.975 -0.526 1.513
O -0.281 -1.120 1.573
O -1.124 1.387 0.786
O -1.569 -0.793 -0.845
W 0.000 0.000 0.000
```

* raw total energy: -6.2507 eV/atom
* crystal system: cubic
* magnetization: 0.00 Bohr magnetons per cell
* DOS at the Fermi energy: 2.68 states/eV/cell